# Tb2Te3 GGA-PBEsol optimized geometry
data_Tb2Te3
_chemical_formula_sum 'Tb8 Te12'
_cell_length_a 14.2427
_cell_length_b 13.5799
_cell_length_c 7.4413
_cell_angle_alpha 79.47
_cell_angle_beta 69.62
_cell_angle_gamma 30.91
_space_group_name_H-M_alt 'P 1'
_space_group_IT_number 1
_space_group_name_Hall 'P 1'
loop_
_atom_site_label
_atom_site_fract_x
_atom_site_fract_y
_atom_site_fract_z
Tb1 0.0423 0.0423 0.2077
Tb2 0.1249 0.1249 0.6251
Tb3 0.2077 0.2077 0.0423
Tb4 0.3749 0.3749 0.8751
Tb5 0.6251 0.6251 0.1249
Tb6 0.7923 0.7923 0.9577
Tb7 0.8751 0.8751 0.3749
Tb8 0.9577 0.9577 0.7923
Te1 0.0418 0.5408 0.2117
Te2 0.1308 0.6192 0.6192
Te3 0.2117 0.7058 0.0418
Te4 0.2942 0.7883 0.4592
Te5 0.3808 0.8692 0.8692
Te6 0.4592 0.9582 0.2942
Te7 0.5408 0.0418 0.7058
Te8 0.6192 0.1308 0.1308
Te9 0.7058 0.2117 0.5408
Te10 0.7883 0.2942 0.9582
Te11 0.8692 0.3808 0.3808
Te12 0.9582 0.4592 0.7883
# magnetic moment	0.00	μB per cell
# energy relative to the elements, uncorrected	-1.3882	eV/atom